A plane-wave DFT calculation with PBE with a Hubbard U was carried out for an optimized crystal structure of VPIrO2.

```
VPIrO2
1.0
3.7714 0.0000 0.0000
0.0000 3.7714 0.0000
0.0000 0.0000 5.3404
V P Ir O
1 1 1 2
direct
0.0000 0.0000 0.0000
0.5000 0.5000 0.0000
0.5000 0.5000 0.5000
0.0000 0.5000 0.5000
0.5000 0.0000 0.5000
```

## Properties
final energy: -32.031 eV per cell